# 1
# TbSm5Tm2Th, relaxed, DFT PBE-GGA
data_TbSm5Tm2Th
_cell_length_a 5.6264
_cell_length_b 20.3075
_cell_length_c 10.5293
_cell_angle_alpha 90.00
_cell_angle_beta 90.00
_cell_angle_gamma 90.00
_symmetry_space_group_name_H-M 'C m c 21'
_symmetry_Int_Tables_number 36
_symmetry_space_group_name_Hall 'C 2c -2'
loop_
_atom_site_label
_atom_site_type_symbol
_atom_site_fract_x
_atom_site_fract_y
_atom_site_fract_z
Tb1 Tb 0.0000 0.0921 0.0000
Sm1 Sm 0.0000 0.0209 0.2896
Sm2 Sm 0.0000 0.1123 0.5735
Sm3 Sm 0.0000 0.2055 0.2518
Sm4 Sm 0.0000 0.2233 0.8598
Sm5 Sm 0.0000 0.4853 0.5673
Tm1 Tm 0.0000 0.3850 0.8612
Tm2 Tm 0.0000 0.3879 0.2845
Th1 Th 0.0000 0.3013 0.5598
# DFT formation energy: 0.16 eV per atom
# calculated total energy: -172.572 eV/cell

# 2
# ZnHg5, relaxed, DFT PBE-GGA
data_ZnHg5
_cell_length_a 6.2882
_cell_length_b 6.2882
_cell_length_c 5.7455
_cell_angle_alpha 90.00
_cell_angle_beta 90.00
_cell_angle_gamma 120.00
_symmetry_space_group_name_H-M 'P 6/m m m'
_symmetry_Int_Tables_number 191
_symmetry_space_group_name_Hall '-P 6 2'
loop_
_atom_site_label
_atom_site_type_symbol
_atom_site_fract_x
_atom_site_fract_y
_atom_site_fract_z
Zn1 Zn 0.0000 0.0000 0.0000
Hg1 Hg 0.0000 0.5000 0.5000
Hg2 Hg 0.3333 0.6667 0.0000
# DFT formation energy: 0.16 eV per atom
# calculated total energy: -1.841 eV/cell

# 3
# BaPmEu2, relaxed, DFT PBE-GGA
data_BaPmEu2
_cell_length_a 3.9341
_cell_length_b 3.9341
_cell_length_c 39.0451
_cell_angle_alpha 90.00
_cell_angle_beta 90.00
_cell_angle_gamma 120.00
_symmetry_space_group_name_H-M 'R -3 m'
_symmetry_Int_Tables_number 166
_symmetry_space_group_name_Hall '-R 3 2"'
loop_
_atom_site_label
_atom_site_type_symbol
_atom_site_fract_x
_atom_site_fract_y
_atom_site_fract_z
Ba1 Ba 0.0000 0.0000 0.0000
Pm1 Pm 0.0000 0.0000 0.5000
Eu1 Eu 0.0000 0.0000 0.2437
# DFT formation energy: 0.10 eV per atom
# relative energy among the computed polymorphs: 8 meV per atom
# calculated total energy: -80.462 eV/cell

# 4
# BaLa2Au, relaxed, DFT PBE-GGA
data_BaLa2Au
_cell_length_a 4.1736
_cell_length_b 4.1736
_cell_length_c 32.2135
_cell_angle_alpha 90.00
_cell_angle_beta 90.00
_cell_angle_gamma 120.00
_symmetry_space_group_name_H-M 'R -3 m'
_symmetry_Int_Tables_number 166
_symmetry_space_group_name_Hall '-R 3 2"'
loop_
_atom_site_label
_atom_site_type_symbol
_atom_site_fract_x
_atom_site_fract_y
_atom_site_fract_z
Ba1 Ba 0.0000 0.0000 0.0000
La1 La 0.0000 0.0000 0.2253
Au1 Au 0.0000 0.0000 0.5000
# DFT formation energy: -0.24 eV per atom
# relative energy among the computed polymorphs: 80 meV per atom
# calculated total energy: -48.057 eV/cell

# 5
# Tb5SmEr2Th, relaxed, DFT PBE-GGA
data_Tb5SmEr2Th
_cell_length_a 5.7175
_cell_length_b 21.4818
_cell_length_c 9.7302
_cell_angle_alpha 90.00
_cell_angle_beta 90.00
_cell_angle_gamma 90.00
_symmetry_space_group_name_H-M 'C m c 21'
_symmetry_Int_Tables_number 36
_symmetry_space_group_name_Hall 'C 2c -2'
loop_
_atom_site_label
_atom_site_type_symbol
_atom_site_fract_x
_atom_site_fract_y
_atom_site_fract_z
Tb1 Tb 0.0000 0.0144 0.0000
Tb2 Tb 0.0000 0.2735 0.3020
Tb3 Tb 0.0000 0.3037 0.6949
Tb4 Tb 0.0000 0.3996 0.0227
Tb5 Tb 0.0000 0.4679 0.7225
Sm1 Sm 0.0000 0.1893 0.9997
Er1 Er 0.0000 0.1168 0.3145
Er2 Er 0.0000 0.1271 0.6950
Th1 Th 0.0000 0.4072 0.4027
# DFT formation energy: 0.16 eV per atom
# calculated total energy: -171.919 eV/cell

# 6
# Al2ZnGa, relaxed, DFT PBE-GGA
data_Al2ZnGa
_cell_length_a 2.8395
_cell_length_b 21.1178
_cell_length_c 4.7912
_cell_angle_alpha 90.00
_cell_angle_beta 90.00
_cell_angle_gamma 90.00
_symmetry_space_group_name_H-M 'C m c m'
_symmetry_Int_Tables_number 63
_symmetry_space_group_name_Hall '-C 2c 2'
loop_
_atom_site_label
_atom_site_type_symbol
_atom_site_fract_x
_atom_site_fract_y
_atom_site_fract_z
Al1 Al 0.0000 0.0908 0.2500
Al2 Al 0.0000 0.1645 0.7500
Zn1 Zn 0.0000 0.0340 0.7500
Ga1 Ga 0.0000 0.2943 0.7500
# DFT formation energy: 0.10 eV per atom
# calculated total energy: -45.509 eV/cell

| no. | N(E_F) (states/eV/f.u.) |
| --- | --- |
| 1 | 14.0 |
| 2 | 1.5 |
| 3 | 11.7 |
| 4 | 5.8 |
| 5 | 11.2 |
| 6 | 1.3 |